First-principles (meta-GGA SCAN) data for a crystal of Dy2ReB6 relaxed with PBEsol, as listed in the Alexandria database.

Calculated values
- E (eV/atom) = -24.17
- total magnetization (μB/f.u.) = 0.0
- DFT formation energy (eV/atom) = -0.70
- crystal system = orthorhombic
- DOS at the Fermi energy (states/eV/atom) = 0.2085

Cell and atoms, written as POSCAR:
```
Dy2ReB6
1.0
-1.503 -2.276 -2.410
-5.029 -3.716 6.646
-8.331 7.648 -2.028
Dy Re B
8 4 24
direct
0.000 0.323 0.414
0.000 0.677 0.586
0.000 0.823 0.086
0.000 0.177 0.914
0.000 0.943 0.370
0.000 0.057 0.630
0.000 0.443 0.130
0.000 0.557 0.870
0.000 0.638 0.321
0.000 0.362 0.679
0.000 0.138 0.179
0.000 0.862 0.821
0.500 0.553 0.433
0.500 0.447 0.567
0.500 0.053 0.067
0.500 0.947 0.933
0.500 0.749 0.419
0.500 0.251 0.581
0.500 0.249 0.081
0.500 0.751 0.919
0.500 0.792 0.265
0.500 0.208 0.735
0.500 0.292 0.235
0.500 0.708 0.765
0.500 0.630 0.186
0.500 0.370 0.814
0.500 0.130 0.314
0.500 0.870 0.686
0.500 0.982 0.212
0.500 0.018 0.788
0.500 0.482 0.288
0.500 0.518 0.712
0.500 0.600 0.028
0.500 0.400 0.972
0.500 0.100 0.472
0.500 0.900 0.528
```